Record 1
DFT (PBE) results for a geometry-optimized GdYGa structure.

abc: 3.700 4.984 4.984
angles: 120.00 90.00 90.00
Each line ends with the local moment (μB).
Fractional coordinates of all 3 atoms:
Y 0.403 0.333 0.667  0.01
Gd 0.945 0.000 0.000  7.10
Ga 0.653 0.667 0.333  -0.03

Calculated values
ΔH_f (0 K) ... -279 meV per atom
Energy above the most stable polymorph in this dataset ... 102 meV per atom


Record 2
DFT (PBE) results for a geometry-optimized LiNiSn2 structure.

abc: 3.300 3.300 9.403
angles: 79.89 79.89 60.00
Fractional coordinates of all 4 atoms:
Ni 0.500 0.500 0.500
Sn 0.100 0.100 0.701
Sn 0.900 0.900 0.299
Li 0.000 0.000 0.000

Calculated values
ΔH_f (0 K) ... -33 meV per atom


Record 3
DFT (PBE) results for a geometry-optimized YTlPb structure.

abc: 5.185 5.185 5.185
angles: 60.00 60.00 60.00
Fractional coordinates of all 3 atoms:
Pb 0.500 0.500 0.500
Tl 0.750 0.750 0.750
Y 0.000 0.000 0.000

Calculated values
ΔH_f (0 K) ... -3 meV per atom
Energy above the most stable polymorph in this dataset ... 326 meV per atom


Record 4
DFT (PBE) results for a geometry-optimized Eu2MgIn structure.

abc: 3.747 3.747 11.085
angles: 80.27 80.27 60.00
Each line ends with the local moment (μB).
Fractional coordinates of all 4 atoms:
Eu 0.253 0.253 0.241  6.99
Eu 0.747 0.747 0.759  6.99
Mg 0.500 0.500 0.500  0.01
In 0.000 0.000 0.000  -0.01

Calculated values
ΔH_f (0 K) ... -111 meV per atom


Record 5
DFT (PBE) results for a geometry-optimized BaGe3N structure.

abc: 5.873 5.873 5.873
angles: 90.00 90.00 90.00
Fractional coordinates of all 5 atoms:
Ge 0.000 0.500 0.000
Ge 0.000 0.000 0.500
Ge 0.500 0.000 0.000
Ba 0.000 0.000 0.000
N 0.500 0.500 0.500

Calculated values
Formation energy (no corrections) ... 1231 kJ/mol of formula units
Energy above the most stable polymorph in this dataset ... 2118 meV per atom


Record 6
DFT (PBE) results for a geometry-optimized AlAgP2 structure.

abc: 3.111 3.111 7.982
angles: 90.00 90.00 118.67
Fractional coordinates of all 4 atoms:
P 0.000 0.000 0.012
P 0.500 0.500 0.217
Al 0.500 0.500 0.769
Ag 0.000 0.000 0.502

Calculated values
ΔH_f (0 K) ... 375 meV per atom


Record 7
DFT (PBE) results for a geometry-optimized LiPuBr5 structure.

abc: 7.514 7.514 10.699
angles: 108.09 111.55 92.00
Each line ends with the local moment (μB).
Fractional coordinates of all 14 atoms:
Li 0.627 0.877 0.250  0.00
Li 0.373 0.123 0.750  0.00
Pu 0.000 0.000 0.000  4.53
Pu 0.000 0.500 0.500  4.53
Br 0.251 0.825 0.162  -0.10
Br 0.207 0.828 0.528  -0.09
Br 0.337 0.411 0.662  -0.10
Br 0.071 0.321 0.250  -0.09
Br 0.300 0.179 0.972  -0.09
Br 0.700 0.821 0.028  -0.09
Br 0.929 0.679 0.750  -0.09
Br 0.663 0.589 0.338  -0.10
Br 0.793 0.172 0.472  -0.09
Br 0.749 0.175 0.838  -0.10

Calculated values
Formation energy (no corrections) ... -891 kJ/mol of formula units


Record 8
DFT (PBE) results for a geometry-optimized Cs2TiI4Br2 structure.

abc: 7.025 8.103 8.103
angles: 60.21 98.24 98.24
Fractional coordinates of all 9 atoms:
Cs 0.281 0.653 0.653
Cs 0.719 0.347 0.347
Ti 0.500 0.000 0.000
I 0.258 0.661 0.146
I 0.742 0.854 0.339
I 0.742 0.339 0.854
I 0.258 0.146 0.661
Br 0.308 0.134 0.134
Br 0.692 0.866 0.866

Calculated values
Formation energy (no corrections) ... -1067 kJ/mol of formula units


Record 9
DFT (PBE) results for a geometry-optimized Nd3Sm2Sc structure.

abc: 6.219 9.505 10.786
angles: 129.04 125.27 77.42
Fractional coordinates of all 12 atoms:
Nd 0.039 0.363 0.078
Nd 0.961 0.637 0.922
Nd 0.709 0.375 0.417
Nd 0.291 0.625 0.583
Nd 0.627 0.627 0.254
Nd 0.373 0.373 0.746
Sm 0.537 0.883 0.086
Sm 0.463 0.117 0.914
Sm 0.214 0.879 0.419
Sm 0.786 0.121 0.581
Sc 0.122 0.122 0.245
Sc 0.878 0.878 0.755

Calculated values
ΔH_f (0 K) ... 37 meV per atom
Energy above the most stable polymorph in this dataset ... 0 meV per atom


Record 10
DFT (PBE) results for a geometry-optimized Li2Pd2Cl5 structure.

abc: 5.140 3.854 10.243
angles: 111.79 104.53 90.00
Fractional coordinates of all 9 atoms:
Li 0.676 0.349 0.352
Li 0.324 0.651 0.648
Pd 0.908 0.318 0.816
Pd 0.092 0.682 0.184
Cl 0.600 0.698 0.200
Cl 0.400 0.302 0.800
Cl 0.814 0.632 0.628
Cl 0.186 0.368 0.372
Cl 0.000 0.000 0.000

Calculated values
Formation energy (no corrections) ... -800 kJ/mol of formula units


Record 11
DFT (PBE) results for a geometry-optimized Ce2TmZn2Au2 structure.

abc: 4.508 4.508 8.908
angles: 75.34 75.34 60.00
Each line ends with the local moment (μB).
Fractional coordinates of all 7 atoms:
Ce 0.139 0.139 0.583  0.41
Ce 0.861 0.861 0.417  0.41
Tm 0.000 0.000 0.000  -0.01
Zn 0.600 0.600 0.200  -0.01
Zn 0.400 0.400 0.800  -0.01
Au 0.734 0.734 0.799  0.00
Au 0.266 0.266 0.201  0.00

Calculated values
ΔH_f (0 K) ... -496 meV per atom


Record 12
DFT (PBE) results for a geometry-optimized BiSb2N2 structure.

abc: 7.695 7.695 3.527
angles: 90.00 90.00 90.00
Fractional coordinates of all 10 atoms:
Sb 0.152 0.652 0.500
Sb 0.652 0.848 0.500
Sb 0.848 0.348 0.500
Sb 0.348 0.152 0.500
Bi 0.000 0.000 0.000
Bi 0.500 0.500 0.000
N 0.264 0.764 0.000
N 0.764 0.736 0.000
N 0.736 0.236 0.000
N 0.236 0.264 0.000

Calculated values
Formation energy (no corrections) ... 393 kJ/mol of formula units
Energy above the most stable polymorph in this dataset ... 0 meV per atom